## Hf3FeTe (PBE)

Data for crystalline Hf3FeTe at its relaxed geometry.

abc: 4.810 4.810 4.810
angles: 90.00 90.00 90.00
Space group Pm-3m (No. 221)
Asymmetric unit:
Hf 0.000 0.000 0.500 x3
Fe 0.000 0.000 0.000 x1
Te 0.500 0.500 0.500 x1

Fermi-level density of states: 2.99 states/eV per cell
Energy relative to the lowest polymorph listed for this composition: 0.0 meV per atom
Spin magnetization: 0.00 μB per formula unit
Uncorrected formation energy: 0.18 kcal/mol of atoms

***

## ThTiCrC3 (PBE)

Data for crystalline ThTiCrC3 at its relaxed geometry.

abc: 5.447 3.392 8.098
angles: 90.00 101.31 90.00
Space group P2_1/m (No. 11)
Asymmetric unit:
Th 0.144 0.250 0.196 x2
Ti 0.262 0.750 0.546 x2
Cr 0.383 0.250 0.869 x2
C 0.085 0.250 0.654 x2
C 0.287 0.750 0.972 x2
C 0.484 0.750 0.338 x2

DFT formation energy: -0.2553 eV/atom
Fermi-level density of states: 4.66 states/eV per cell
Spin magnetization: 0.00 μB per formula unit

***

## SrCa2PrSe4 (PBE)

Data for crystalline SrCa2PrSe4 at its relaxed geometry.

abc: 7.408 4.264 7.434
angles: 90.00 109.34 90.00
Space group P2/m (No. 10)
Asymmetric unit:
Sr 0.000 0.000 0.000 x1
Ca 0.500 0.000 0.500 x1
Ca 0.500 0.500 0.000 x1
Pr 0.000 0.500 0.500 x1
Se 0.258 0.000 0.749 x2
Se 0.260 0.500 0.258 x2

Fermi-level density of states: 2.73 states/eV per cell
Spin magnetization: 0.00 μB per formula unit
Uncorrected formation energy: -45.16 kcal/mol of atoms

***

## Te2PtI (PBE)

Data for crystalline Te2PtI at its relaxed geometry.

abc: 7.467 4.780 14.134
angles: 90.00 90.00 90.00
Space group Pnma (No. 62)
Asymmetric unit:
Te 0.158 0.250 0.038 x4
Te 0.179 0.250 0.743 x4
Pt 0.074 0.750 0.106 x4
I 0.080 0.250 0.334 x4

Fermi-level density of states: 10.29 states/eV per cell
Spin magnetization: 0.00 μB per formula unit
Uncorrected formation energy: -0.27 kcal/mol of atoms

***

## BaHfCo2Ag (PBE)

Data for crystalline BaHfCo2Ag at its relaxed geometry.

abc: 4.738 4.738 5.403
angles: 90.00 90.00 90.00
Space group P4/mmm (No. 123)
Asymmetric unit:
Ba 0.000 0.000 0.000 x1
Hf 0.000 0.000 0.500 x1
Co 0.000 0.500 0.000 x2
Ag 0.500 0.500 0.500 x1

DFT formation energy: 2.1497 eV/atom
Fermi-level density of states: 5.83 states/eV per cell
Spin magnetization: 2.05 μB per formula unit

***

## TmCuHg6 (PBE)

Data for crystalline TmCuHg6 at its relaxed geometry.

abc: 6.3079 6.3079 53.2236
angles: 90.00 90.00 120.00
Space group R-3m (No. 166, hexagonal axes)
Asymmetric unit:
Tm 0.0000 0.0000 0.0000 x3
Cu 0.0000 0.0000 0.5000 x3
Hg 0.0087 0.5044 0.3782 x18

DFT formation energy: 0.6200 eV/atom
Fermi-level density of states: 36.14 states/eV per cell
Spin magnetization: 1.06 μB per formula unit

***

## Th8Te4Ir3C (PBE)

Data for crystalline Th8Te4Ir3C at its relaxed geometry.

abc: 8.3342 8.3342 22.7496
angles: 90.00 90.00 120.00
Space group R-3m (No. 166, hexagonal axes)
Asymmetric unit:
Th 0.0000 0.0000 0.2336 x6
Th 0.0131 0.5066 0.2325 x18
Te 0.0000 0.0000 0.0000 x3
Te 0.0000 0.5000 0.0000 x9
Ir 0.0000 0.5000 0.5000 x9
C 0.0000 0.0000 0.5000 x3

Fermi-level density of states: 42.25 states/eV per cell
Spin magnetization: 0.00 μB per formula unit
Uncorrected formation energy: -22.73 kcal/mol of atoms

***

## Pa8Tc6Sn (PBE)

Data for crystalline Pa8Tc6Sn at its relaxed geometry.

abc: 10.1055 10.1055 12.4614
angles: 90.00 90.00 120.00
Space group R-3 (No. 148, hexagonal axes)
Asymmetric unit:
Pa 0.0000 0.0000 0.2395 x6
Pa 0.0023 0.6537 0.7290 x18
Tc 0.0113 0.8331 0.5923 x18
Sn 0.0000 0.0000 0.0000 x3

DFT formation energy: 0.0259 eV/atom
Fermi-level density of states: 66.36 states/eV per cell
Spin magnetization: 0.00 μB per formula unit

***

## CaCo2Mo (PBE)

Data for crystalline CaCo2Mo at its relaxed geometry.

abc: 6.926 6.926 5.882
angles: 90.00 90.00 90.00
Space group I-42d (No. 122)
Asymmetric unit:
Ca 0.000 0.000 0.000 x4
Co 0.192 0.250 0.625 x8
Mo 0.000 0.000 0.500 x4

DFT formation energy: 0.6903 eV/atom
Fermi-level density of states: 6.01 states/eV per cell
Energy relative to the lowest polymorph listed for this composition: 472.8 meV per atom
Spin magnetization: 0.00 μB per formula unit

***

## Cs2LiNbCl6 (PBE)

Data for crystalline Cs2LiNbCl6 at its relaxed geometry.

abc: 7.4219 7.4219 36.4654
angles: 90.00 90.00 120.00
Space group R-3m (No. 166, hexagonal axes)
Asymmetric unit:
Cs 0.0000 0.0000 0.1256 x6
Cs 0.0000 0.0000 0.2906 x6
Li 0.0000 0.0000 0.4125 x6
Nb 0.0000 0.0000 0.0000 x3
Nb 0.0000 0.0000 0.5000 x3
Cl 0.0117 0.5059 0.7063 x18
Cl 0.0219 0.5109 0.1253 x18

Fermi-level density of states: 54.70 states/eV per cell
Energy relative to the lowest polymorph listed for this composition: 0.0 meV per atom
Spin magnetization: 2.00 μB per formula unit
Uncorrected formation energy: -38.07 kcal/mol of atoms

***

## CuPSe2N (PBE)

Data for crystalline CuPSe2N at its relaxed geometry.

abc: 5.042 5.042 3.186
angles: 90.00 90.00 90.00
Space group P4/mmm (No. 123)
Asymmetric unit:
Cu 0.000 0.000 0.000 x1
P 0.500 0.500 0.500 x1
Se 0.000 0.500 0.500 x2
N 0.500 0.500 0.000 x1

Fermi-level density of states: 3.24 states/eV per cell
Energy relative to the lowest polymorph listed for this composition: 0.0 meV per atom
Spin magnetization: 0.00 μB per formula unit
Uncorrected formation energy: 13.89 kcal/mol of atoms

***

## LaCoB2C (PBE)

Data for crystalline LaCoB2C at its relaxed geometry.

abc: 3.467 3.467 5.114
angles: 90.00 90.00 90.00
Space group P4/mmm (No. 123)
Asymmetric unit:
La 0.000 0.000 0.000 x1
Co 0.500 0.500 0.000 x1
B 0.000 0.500 0.500 x2
C 0.000 0.000 0.500 x1

DFT formation energy: 1.2156 eV/atom
Fermi-level density of states: 2.53 states/eV per cell
Spin magnetization: 0.00 μB per formula unit